Entry 1:
A plane-wave DFT calculation with PBE was carried out for a relaxed LiEuYNi crystal.

POSCAR file:
```
LiEuYNi
1.0
-3.4428 1.8913 -3.1468
0.8947 0.0861 -4.9522
-2.5531 -3.0620 -3.0721
Eu Y Li Ni
1 1 1 1
Cartesian
-1.2753 -0.2712 -2.7928 Eu
-3.8259 -0.8135 -8.3783 Y
-2.5506 -0.5423 -5.5855 Li
0.0000 0.0000 0.0000 Ni
```

Results
The density of states at the Fermi level comes out at 1.35 states/eV/atom. The value obtained for the electronic total energy is -24.51 eV/f.u.


Entry 2:
A plane-wave DFT calculation with PBE was carried out for a relaxed LiEuZnNi crystal.

POSCAR file:
```
LiEuZnNi
1.0
-2.3690 0.1968 -4.0297
-3.8127 -2.6436 -0.6038
-4.2312 1.9923 -0.1313
Eu Ni Zn Li
1 1 1 1
Cartesian
-7.8096 -0.3408 -3.5736 Eu
-5.2064 -0.2272 -2.3824 Ni
-2.6032 -0.1136 -1.1912 Zn
0.0000 0.0000 0.0000 Li
```

Results
The density of states at the Fermi level comes out at 0.97 states/eV/atom. The value obtained for the electronic total energy is -19.43 eV/f.u.


Entry 3:
A plane-wave DFT calculation with PBE was carried out for a relaxed Li2Eu5O8 crystal.

POSCAR file:
```
Li2Eu5O8
1.0
-2.0685 1.4527 6.6017
-4.0217 -1.3166 5.6626
3.7893 -5.1575 7.3274
Li Eu O
2 5 8
Cartesian
1.6142 -3.7646 7.7438 Li
-3.9150 -1.2567 11.8479 Li
-3.0451 0.0681 6.1322 Eu
-1.5569 -2.8430 11.6211 Eu
-0.7440 -2.1783 7.9706 Eu
-0.3269 -0.9312 3.4257 Eu
-1.9740 -4.0901 16.1660 Eu
2.7051 -4.0141 6.2103 O
-5.0060 -1.0073 13.3814 O
0.0267 -1.9482 5.6893 O
-2.3276 -3.0731 13.9025 O
-4.7235 -0.2287 10.4980 O
2.4226 -4.7926 9.0937 O
-2.2314 -1.6952 9.6392 O
-0.0695 -3.3262 9.9525 O
```

Results
The density of states at the Fermi level comes out at 2.19 states/eV/atom. The value obtained for the electronic total energy is -133.16 eV/f.u. The value obtained for the raw formation energy is -2553 meV per atom.


Entry 4:
A plane-wave DFT calculation with PBE was carried out for a relaxed LiEu2RuO6 crystal.

POSCAR file:
```
LiEu2RuO6
1.0
-5.6273 0.1684 1.1536
0.2006 -5.1954 1.7370
1.7403 -2.6920 8.8824
Li Eu Ru O
2 4 2 12
Cartesian
-2.7134 -2.5135 1.4453 Li
0.9705 -3.9437 5.3097 Li
1.0976 -5.8342 8.0301 Eu
-4.7840 -1.8847 3.7429 Eu
-1.8174 -3.2935 7.7543 Eu
-1.8691 -4.4255 4.0186 Eu
-1.9435 -1.2618 5.0180 Ru
0.0000 0.0000 0.0000 Ru
-1.1880 -6.3303 8.6146 O
-2.4984 -1.3887 3.1583 O
-4.1162 -2.6602 8.1096 O
0.4298 -5.0588 3.6634 O
-3.3108 -5.3430 7.1231 O
-0.3756 -2.3760 4.6498 O
0.0928 -3.7099 9.1734 O
-3.7792 -4.0090 2.5995 O
-0.6919 -4.8584 6.3515 O
-2.9945 -2.8606 5.4215 O
-2.8557 -4.1847 10.0126 O
-0.8308 -3.5343 1.7603 O
```

Results
The density of states at the Fermi level comes out at 1.78 states/eV/atom. The value obtained for the electronic total energy is -82.08 eV/f.u. The value obtained for the raw formation energy is -2059 meV per atom.


Entry 5:
A plane-wave DFT calculation with PBE was carried out for a relaxed Li2EuSiO4 crystal.

POSCAR file:
```
Li2EuSiO4
1.0
-3.9071 2.3277 -2.2357
-0.8334 -3.3654 3.6962
0.6088 9.1956 8.5099
Li Eu Si O
6 3 3 12
Cartesian
-1.6030 1.4287 0.0352 Li
-3.6474 4.8276 2.6719 Li
-2.6438 6.4140 7.0492 Li
-1.7181 3.0602 7.6785 Li
-2.7176 1.4747 3.2999 Li
-0.0652 7.2685 9.1762 Li
-0.2493 0.1163 2.9738 Eu
-1.1370 8.6426 6.1507 Eu
-2.4411 3.9968 5.1007 Eu
-3.4255 -0.7498 1.0553 Si
0.1747 5.1969 6.6985 Si
-0.8809 3.7109 2.2165 Si
-0.9909 2.5511 3.4017 O
-0.2923 6.7558 11.1348 O
-2.5114 0.5282 1.5770 O
-3.0807 4.5680 7.5351 O
-0.9911 6.0774 5.9064 O
-4.0144 2.9412 3.3482 O
-0.2030 3.5993 6.4838 O
-1.6604 5.0552 2.7877 O
-3.6726 7.8386 6.0873 O
-1.9228 7.5635 8.4865 O
-2.4249 -0.1110 4.4886 O
-3.0257 1.5802 -1.4152 O
```

Results
The density of states at the Fermi level comes out at 2.72 states/eV/atom. The value obtained for the electronic total energy is -60.43 eV/f.u. The value obtained for the raw formation energy is -2634 meV per atom.


Entry 6:
A plane-wave DFT calculation with PBE was carried out for a relaxed LiSmEu2O4 crystal.

POSCAR file:
```
LiSmEu2O4
1.0
-2.6162 -2.2915 0.1307
5.7052 -6.9255 -7.2196
5.0742 -5.2758 9.0707
Li Sm Eu O
4 4 8 16
Cartesian
5.9349 -7.7693 5.7518 Li
7.1902 -9.5713 -0.7133 Li
2.2282 -6.7235 -3.7700 Li
0.9729 -4.9215 2.6950 Li
1.1809 -2.6211 0.8537 Sm
4.5116 -6.5809 -1.9014 Sm
6.9822 -11.8717 1.1281 Sm
3.6515 -7.9119 3.8832 Sm
3.0211 -4.4925 4.8774 Eu
7.2647 -9.4015 3.7542 Eu
5.1420 -10.0003 -2.8956 Eu
0.8985 -5.0913 -1.7724 Eu
3.6020 -5.3629 1.2447 Eu
4.6696 -6.9697 -5.5560 Eu
4.5612 -9.1299 0.7371 Eu
3.4936 -7.5231 7.5378 Eu
1.0274 -2.5769 -1.4445 O
5.9909 -8.2344 -1.2809 O
7.1357 -11.9159 3.4263 O
2.1723 -6.2584 3.2627 O
1.6627 -3.0397 3.1572 O
3.0850 -5.0153 -3.0094 O
6.5004 -11.4530 -1.1754 O
5.0781 -9.4774 4.9912 O
5.2251 -7.1579 2.2632 O
9.3542 -11.9478 0.9352 O
2.9380 -7.3349 -0.2814 O
-1.1910 -2.5450 1.0466 O
4.6623 -6.3371 5.3874 O
7.2113 -9.4842 1.2349 O
3.5008 -8.1556 -3.4056 O
0.9519 -5.0086 0.7469 O
```

Results
The density of states at the Fermi level comes out at 2.37 states/eV/atom. The value obtained for the electronic total energy is -69.27 eV/f.u. The value obtained for the raw formation energy is -2782 meV per atom.


Question: What is the electronic total energy in the fourth record?
Answer: -82.08 eV/f.u.


Question: Among the records above, which one has the highest electronic total energy?
Answer: LiEuZnNi